# CaSc2SiW

A relaxed structure of CaSc2SiW (PBE, Alexandria via LeMat-Bulk).

a b c (Å): 4.978 5.193 4.978
angles (deg): 90.00 90.00 90.00
Positions (direct):
Si  0.000  0.000  0.000
Sc  0.000  0.000  0.500
Sc  0.500  0.000  0.000
W  0.500  0.500  0.500
Ca  0.000  0.500  0.000

Summary:
raw total energy = -5.633 eV/atom